Computed, not measured: an optimized crystal structure of LiNiMo2 at the PBE level of DFT.

ρ ... 7.42 g cm⁻³
M_tot ... 0.00 μB/atom
Energy relative to the lowest polymorph listed for this composition ... 89 meV per atom

Unit cell a=2.587 b=2.587 c=8.827 alpha=90.00 beta=90.00 gamma=102.61
Positions (direct):
Li: 0.500 0.500 0.750
Mo: 0.000 0.000 0.021
Mo: 0.000 0.000 0.479
Ni: 0.500 0.500 0.250